(1)
This record from Alexandria describes a geometry-optimized Cs4Sb2Cl structure. The functional is GGA-PBE.

Geometry as extended XYZ:
```
7
Lattice="-2.923 -6.385 -1.668 5.070 -3.340 3.902 -3.800 -4.392 7.853" Properties=species:S:1:pos:R:3 pbc="T T T"
Sb 0.247 -4.783 2.260
Cs 2.535 -1.670 1.951
Cl 0.000 0.000 0.000
Cs -1.889 -4.576 5.212
Sb -1.899 -9.334 7.827
Cs 0.237 -9.540 4.875
Cs -1.461 -3.192 -0.834
```

Summary:
- Density of states at the Fermi level: 7.00 states/eV/f.u.
- Calculated density: 3.10 g/cm3
- Size of the total moment: 1.06 μB/f.u.
- Raw formation energy: -5.13 eV/f.u.

---

(2)
This record from Alexandria describes a geometry-optimized CsSb2Cl structure. The functional is GGA-PBE.

Geometry as extended XYZ:
```
4
Lattice="4.762 1.220 3.023 0.219 4.771 3.238 -0.051 -0.414 5.755" Properties=species:S:1:pos:R:3 pbc="T T T"
Cl 0.000 0.000 0.000
Sb 1.232 1.394 3.004
Sb 3.697 4.183 9.012
Cs 2.465 2.789 6.008
```

Summary:
- Density of states at the Fermi level: 5.09 states/eV/f.u.
- Calculated density: 5.03 g/cm3
- Size of the total moment: 0.00 μB/f.u.
- Raw formation energy: 1.41 eV/f.u.